Compound: Li2AgAs
Source: the Alexandria database
Functional: PBE
Structure: relaxed

## Properties
symmetry = No. 139
total moment = 0.000 μB per cell
ρ = 5.22 Mg/m³

Cell lengths 4.6441, 4.6441, 4.6441 Å; angles 126.50, 126.50, 79.07 degrees
Positions (direct):
Li1 0.2500 0.7500 0.5000
Li2 0.7500 0.2500 0.5000
Ag1 0.0000 0.0000 0.0000
As1 0.5000 0.5000 0.0000


Compound: Li2Ag2As
Source: the Alexandria database
Functional: PBE
Structure: relaxed

## Properties
energy above the lowest structure with this stoichiometry = 0.0 meV/atom
symmetry = No. 127
total moment = 0.000 μB per cell
ρ = 6.02 Mg/m³

Cell lengths 7.3595, 7.3595, 3.1019 Å; angles 90.00, 90.00, 90.00 degrees
Positions (direct):
Li1 0.1667 0.3333 0.0000
Li2 0.3333 0.8333 0.0000
Li3 0.6667 0.1667 0.0000
Li4 0.8333 0.6667 0.0000
Ag1 0.1331 0.6331 0.5000
Ag2 0.3669 0.1331 0.5000
Ag3 0.6331 0.8669 0.5000
Ag4 0.8669 0.3669 0.5000
As1 0.0000 0.0000 0.5000
As2 0.5000 0.5000 0.5000


Compound: LiAg2As2
Source: the Alexandria database
Functional: PBE
Structure: relaxed

## Properties
energy above the lowest structure with this stoichiometry = 160.8 meV/atom
symmetry = No. 139
total moment = 0.000 μB per cell
ρ = 6.07 Mg/m³

Cell lengths 7.4623, 7.4623, 7.4623 Å; angles 150.28, 150.28, 42.53 degrees
Positions (direct):
Li1 0.0000 0.0000 0.0000
Ag1 0.4037 0.4037 0.0000
Ag2 0.5963 0.5963 0.0000
As1 0.2500 0.7500 0.5000
As2 0.7500 0.2500 0.5000


Compound: Li2AgAs
Source: the Alexandria database
Functional: PBE
Structure: relaxed

## Properties
symmetry = No. 123
total moment = 0.000 μB per cell
ρ = 5.07 Mg/m³

Cell lengths 2.9929, 2.9929, 7.1877 Å; angles 90.00, 90.00, 90.00 degrees
Positions (direct):
Li1 0.0000 0.0000 0.2341
Li2 0.0000 0.0000 0.7659
Ag1 0.5000 0.5000 0.5000
As1 0.5000 0.5000 0.0000


Compound: Li6Ag5As
Source: the Alexandria database
Functional: PBE
Structure: relaxed

## Properties
symmetry = No. 10
total moment = 0.000 μB per cell
ρ = 5.74 Mg/m³

Cell lengths 4.2961, 6.7919, 6.8388 Å; angles 90.00, 108.16, 90.00 degrees
Positions (direct):
Li1 0.0000 0.2378 0.0000
Li2 0.0000 0.7622 0.0000
Li3 0.3407 0.2428 0.6817
Li4 0.3407 0.7572 0.6817
Li5 0.6593 0.2428 0.3183
Li6 0.6593 0.7572 0.3183
Ag1 0.1693 0.5000 0.3393
Ag2 0.1705 0.0000 0.3429
Ag3 0.5000 0.5000 0.0000
Ag4 0.8295 0.0000 0.6571
Ag5 0.8307 0.5000 0.6607
As1 0.5000 0.0000 0.0000


Compound: Li2AgAs
Source: the Alexandria database
Functional: PBE
Structure: relaxed

## Properties
symmetry = No. 166
total moment = 0.000 μB per cell
ρ = 4.82 Mg/m³

Cell lengths 8.5837, 8.5837, 8.5837 Å; angles 20.48, 20.48, 20.48 degrees
Positions (direct):
Li1 0.2434 0.2434 0.2434
Li2 0.7566 0.7566 0.7566
Ag1 0.0000 0.0000 0.0000
As1 0.5000 0.5000 0.5000


Compound: LiAgAs2
Source: the Alexandria database
Functional: PBE
Structure: relaxed

## Properties
energy above the lowest structure with this stoichiometry = 105.0 meV/atom
symmetry = No. 99
total moment = 0.000 μB per cell
ρ = 5.89 Mg/m³

Cell lengths 3.7477, 3.7477, 5.3165 Å; angles 90.00, 90.00, 90.00 degrees
Positions (direct):
Li1 0.0000 0.0000 0.0000
Ag1 0.5000 0.5000 0.1983
As1 0.0000 0.0000 0.5217
As2 0.5000 0.5000 0.7014


Compound: LiAg2As2
Source: the Alexandria database
Functional: PBE
Structure: relaxed

## Properties
energy above the lowest structure with this stoichiometry = 200.0 meV/atom
symmetry = No. 139
total moment = 0.000 μB per cell
ρ = 5.51 Mg/m³

Cell lengths 5.7951, 5.7951, 5.7951 Å; angles 129.73, 129.73, 73.84 degrees
Positions (direct):
Li1 0.0000 0.0000 0.0000
Ag1 0.3486 0.3486 0.0000
Ag2 0.6514 0.6514 0.0000
As1 0.2500 0.7500 0.5000
As2 0.7500 0.2500 0.5000


Number 1: formation energy from the elements -1.7 eV/f.u.. Number 2: formation energy from the elements -0.8 eV/f.u.. Number 3: formation energy from the elements 0.4 eV/f.u.. Number 4: formation energy from the elements -1.4 eV/f.u.. Number 5: formation energy from the elements -3.5 eV/f.u.. Number 6: formation energy from the elements -0.9 eV/f.u.. Number 7: formation energy from the elements -0.3 eV/f.u.. Number 8: formation energy from the elements 0.6 eV/f.u..